Below is a relaxed Mg4Mo3O12 crystal, with properties calculated at the GGA-PBEsol level.

Unit cell a=5.1702 b=10.4035 c=17.4189 alpha=90.00 beta=90.00 gamma=90.00
With the nearest neighbours (Å) after each atom.
Positions (direct):
Mg: 0.0908 0.2500 0.2497  6 O 2.02-2.06
Mg: 0.2387 0.7500 0.1981  6 O 2.07-2.17
Mg: 0.2502 0.0744 0.5264  6 O 2.05-2.14
Mg: 0.2502 0.4256 0.5264  6 O 2.05-2.14
Mg: 0.2498 0.5744 0.0264  6 O 2.05-2.14
Mg: 0.2498 0.9256 0.0264  6 O 2.05-2.14
Mg: 0.2613 0.2500 0.6981  6 O 2.07-2.17
Mg: 0.4092 0.7500 0.7497  6 O 2.02-2.06
Mg: 0.5908 0.2500 0.2503  6 O 2.02-2.06
Mg: 0.7387 0.7500 0.3019  6 O 2.07-2.17
Mg: 0.7502 0.0744 0.9736  6 O 2.05-2.14
Mg: 0.7502 0.4256 0.9736  6 O 2.05-2.14
Mg: 0.7498 0.5744 0.4736  6 O 2.05-2.14
Mg: 0.7498 0.9256 0.4736  6 O 2.05-2.14
Mg: 0.7613 0.2500 0.8019  6 O 2.07-2.17
Mg: 0.9092 0.7500 0.7503  6 O 2.02-2.06
Mo: 0.2145 0.7500 0.5569  4 O 1.79-1.83
Mo: 0.2231 0.0301 0.8411  4 O 1.79-1.83
Mo: 0.2231 0.4699 0.8411  4 O 1.79-1.83
Mo: 0.2769 0.5301 0.3411  4 O 1.79-1.83
Mo: 0.2769 0.9699 0.3411  4 O 1.79-1.83
Mo: 0.2855 0.2500 0.0569  4 O 1.79-1.83
Mo: 0.7145 0.7500 0.9431  4 O 1.79-1.83
Mo: 0.7231 0.0301 0.6589  4 O 1.79-1.83
Mo: 0.7231 0.4699 0.6589  4 O 1.79-1.83
Mo: 0.7769 0.5301 0.1589  4 O 1.79-1.83
Mo: 0.7769 0.9699 0.1589  4 O 1.79-1.83
Mo: 0.7855 0.2500 0.4431  4 O 1.79-1.83
O: 0.0571 0.6273 0.2831  1 Mo 1.83
O: 0.0571 0.8727 0.2831  1 Mo 1.83
O: 0.0592 0.6187 0.1260  1 Mo 1.82
O: 0.0592 0.8813 0.1260  1 Mo 1.82
O: 0.0607 0.2500 0.5092  1 Mo 1.83
O: 0.0777 0.0077 0.4243  1 Mo 1.82
O: 0.0777 0.4923 0.4243  1 Mo 1.82
O: 0.0823 0.1124 0.0366  1 Mo 1.81
O: 0.0823 0.3876 0.0366  1 Mo 1.81
O: 0.1574 0.7500 0.6584  1 Mo 1.79
O: 0.1580 0.6189 0.7931  1 Mo 1.79
O: 0.1580 0.8811 0.7931  1 Mo 1.79
O: 0.3420 0.1189 0.2931  1 Mo 1.79
O: 0.3420 0.3811 0.2931  1 Mo 1.79
O: 0.3426 0.2500 0.1584  1 Mo 1.79
O: 0.4177 0.6124 0.5366  1 Mo 1.81
O: 0.4177 0.8876 0.5366  1 Mo 1.81
O: 0.4223 0.5077 0.9243  1 Mo 1.82
O: 0.4223 0.9923 0.9243  1 Mo 1.82
O: 0.4393 0.7500 0.0092  1 Mo 1.83
O: 0.4408 0.1187 0.6260  1 Mo 1.82
O: 0.4408 0.3813 0.6260  1 Mo 1.82
O: 0.4429 0.1273 0.7831  1 Mo 1.83
O: 0.4429 0.3727 0.7831  1 Mo 1.83
O: 0.5571 0.6273 0.2169  1 Mo 1.83
O: 0.5571 0.8727 0.2169  1 Mo 1.83
O: 0.5592 0.6187 0.3740  1 Mo 1.82
O: 0.5592 0.8813 0.3740  1 Mo 1.82
O: 0.5607 0.2500 0.9908  1 Mo 1.83
O: 0.5777 0.0077 0.0757  1 Mo 1.82
O: 0.5777 0.4923 0.0757  1 Mo 1.82
O: 0.5823 0.1124 0.4634  1 Mo 1.81
O: 0.5823 0.3876 0.4634  1 Mo 1.81
O: 0.6574 0.7500 0.8416  1 Mo 1.79
O: 0.6580 0.6189 0.7069  1 Mo 1.79
O: 0.6580 0.8811 0.7069  1 Mo 1.79
O: 0.8420 0.1189 0.2069  1 Mo 1.79
O: 0.8420 0.3811 0.2069  1 Mo 1.79
O: 0.8426 0.2500 0.3416  1 Mo 1.79
O: 0.9177 0.6124 0.9634  1 Mo 1.81
O: 0.9177 0.8876 0.9634  1 Mo 1.81
O: 0.9223 0.5077 0.5757  1 Mo 1.82
O: 0.9223 0.9923 0.5757  1 Mo 1.82
O: 0.9393 0.7500 0.4908  1 Mo 1.83
O: 0.9408 0.1187 0.8740  1 Mo 1.82
O: 0.9408 0.3813 0.8740  1 Mo 1.82
O: 0.9429 0.1273 0.7169  1 Mo 1.83
O: 0.9429 0.3727 0.7169  1 Mo 1.83

The value obtained for the total magnetic moment is 2.04 μB per formula unit. Its total energy is -7.80 eV/atom. The energy relative to the elements, uncorrected comes out at -2.260 eV per atom. As for the crystal system: orthorhombic.

Below is a relaxed MgMoO2 crystal, with properties calculated at the GGA-PBEsol level.

Unit cell a=6.2436 b=6.2436 c=6.2436 alpha=27.62 beta=27.62 gamma=27.62
With the nearest neighbours (Å) after each atom.
Positions (direct):
Mg: 0.0000 0.0000 0.0000  6 O 2.05
Mo: 0.5000 0.5000 0.5000  2 O 1.88
O: 0.3955 0.3955 0.3955  1 Mo 1.88, 3 Mg 2.05
O: 0.6045 0.6045 0.6045  1 Mo 1.88, 3 Mg 2.05

The value obtained for the total magnetic moment is 0.00 μB per formula unit. Its total energy is -7.78 eV/atom. The energy relative to the elements, uncorrected comes out at -1.782 eV per atom. As for the crystal system: trigonal.

Below is a relaxed MgMoPb2O6 crystal, with properties calculated at the GGA-PBEsol level.

Unit cell a=5.6030 b=5.6030 c=5.6030 alpha=60.00 beta=60.00 gamma=60.00
With the nearest neighbours (Å) after each atom.
Positions (direct):
Mg: 0.0000 0.0000 0.0000  6 O 2.05
Mo: 0.5000 0.5000 0.5000  6 O 1.91
Pb: 0.2500 0.2500 0.2500  12 O 2.80
Pb: 0.7500 0.7500 0.7500  12 O 2.80
O: 0.2587 0.2587 0.7413  1 Mo 1.91, 1 Mg 2.05
O: 0.2587 0.7413 0.2587  1 Mo 1.91, 1 Mg 2.05
O: 0.2587 0.7413 0.7413  1 Mo 1.91, 1 Mg 2.05
O: 0.7413 0.2587 0.2587  1 Mo 1.91, 1 Mg 2.05
O: 0.7413 0.2587 0.7413  1 Mo 1.91, 1 Mg 2.05
O: 0.7413 0.7413 0.2587  1 Mo 1.91, 1 Mg 2.05

The value obtained for the total magnetic moment is 0.00 μB per formula unit. Its total energy is -7.12 eV/atom. The energy relative to the elements, uncorrected comes out at -1.826 eV per atom. As for the crystal system: cubic.

Below is a relaxed Mg3Si3Mo2O12 crystal, with properties calculated at the GGA-PBEsol level.

Unit cell a=10.2730 b=10.2730 c=10.2730 alpha=109.47 beta=109.47 gamma=109.47
With the nearest neighbours (Å) after each atom.
Positions (direct):
Mg: 0.1250 0.2500 0.3750  8 O 2.28-2.35
Mg: 0.1250 0.3750 0.7500  8 O 2.28-2.35
Mg: 0.2500 0.3750 0.1250  8 O 2.28-2.35
Mg: 0.2500 0.8750 0.6250  8 O 2.28-2.35
Mg: 0.3750 0.1250 0.2500  8 O 2.28-2.35
Mg: 0.3750 0.7500 0.1250  8 O 2.28-2.35
Mg: 0.6250 0.2500 0.8750  8 O 2.28-2.35
Mg: 0.6250 0.8750 0.7500  8 O 2.28-2.35
Mg: 0.7500 0.1250 0.3750  8 O 2.28-2.35
Mg: 0.7500 0.6250 0.8750  8 O 2.28-2.35
Mg: 0.8750 0.6250 0.2500  8 O 2.28-2.35
Mg: 0.8750 0.7500 0.6250  8 O 2.28-2.35
Si: 0.1250 0.7500 0.8750  4 O 1.65
Si: 0.1250 0.8750 0.2500  4 O 1.65
Si: 0.2500 0.1250 0.8750  4 O 1.65
Si: 0.2500 0.6250 0.3750  4 O 1.65
Si: 0.3750 0.2500 0.6250  4 O 1.65
Si: 0.3750 0.6250 0.7500  4 O 1.65
Si: 0.6250 0.3750 0.2500  4 O 1.65
Si: 0.6250 0.7500 0.3750  4 O 1.65
Si: 0.7500 0.3750 0.6250  4 O 1.65
Si: 0.7500 0.8750 0.1250  4 O 1.65
Si: 0.8750 0.1250 0.7500  4 O 1.65
Si: 0.8750 0.2500 0.1250  4 O 1.65
Mo: 0.0000 0.0000 0.0000  6 O 2.08
Mo: 0.0000 0.0000 0.5000  6 O 2.08
Mo: 0.0000 0.5000 0.0000  6 O 2.08
Mo: 0.0000 0.5000 0.5000  6 O 2.08
Mo: 0.5000 0.0000 0.0000  6 O 2.08
Mo: 0.5000 0.0000 0.5000  6 O 2.08
Mo: 0.5000 0.5000 0.0000  6 O 2.08
Mo: 0.5000 0.5000 0.5000  6 O 2.08
O: 0.0235 0.2198 0.1264  1 Si 1.65
O: 0.0235 0.3037 0.8970  1 Si 1.65
O: 0.0934 0.7198 0.6963  1 Si 1.65
O: 0.0934 0.8736 0.3970  1 Si 1.65
O: 0.1030 0.6264 0.4066  1 Si 1.65
O: 0.1030 0.9765 0.6963  1 Si 1.65
O: 0.1264 0.0235 0.2198  1 Si 1.65
O: 0.1264 0.6030 0.9066  1 Si 1.65
O: 0.1963 0.2198 0.5934  1 Si 1.65
O: 0.1963 0.4765 0.6030  1 Si 1.65
O: 0.2198 0.1264 0.0235  1 Si 1.65
O: 0.2198 0.5934 0.1963  1 Si 1.65
O: 0.2802 0.3037 0.9066  1 Si 1.65
O: 0.2802 0.4765 0.3736  1 Si 1.65
O: 0.3037 0.8970 0.0235  1 Si 1.65
O: 0.3037 0.9066 0.2802  1 Si 1.65
O: 0.3736 0.2802 0.4765  1 Si 1.65
O: 0.3736 0.5934 0.8970  1 Si 1.65
O: 0.3970 0.0934 0.8736  1 Si 1.65
O: 0.3970 0.8037 0.5235  1 Si 1.65
O: 0.4066 0.1030 0.6264  1 Si 1.65
O: 0.4066 0.8037 0.7802  1 Si 1.65
O: 0.4765 0.3736 0.2802  1 Si 1.65
O: 0.4765 0.6030 0.1963  1 Si 1.65
O: 0.5235 0.3970 0.8037  1 Si 1.65
O: 0.5235 0.6264 0.7198  1 Si 1.65
O: 0.5934 0.1963 0.2198  1 Si 1.65
O: 0.5934 0.8970 0.3736  1 Si 1.65
O: 0.6030 0.1963 0.4765  1 Si 1.65
O: 0.6030 0.9066 0.1264  1 Si 1.65
O: 0.6264 0.4066 0.1030  1 Si 1.65
O: 0.6264 0.7198 0.5235  1 Si 1.65
O: 0.6963 0.0934 0.7198  1 Si 1.65
O: 0.6963 0.1030 0.9765  1 Si 1.65
O: 0.7198 0.5235 0.6264  1 Si 1.65
O: 0.7198 0.6963 0.0934  1 Si 1.65
O: 0.7802 0.4066 0.8037  1 Si 1.65
O: 0.7802 0.8736 0.9765  1 Si 1.65
O: 0.8037 0.5235 0.3970  1 Si 1.65
O: 0.8037 0.7802 0.4066  1 Si 1.65
O: 0.8736 0.3970 0.0934  1 Si 1.65
O: 0.8736 0.9765 0.7802  1 Si 1.65
O: 0.8970 0.0235 0.3037  1 Si 1.65
O: 0.8970 0.3736 0.5934  1 Si 1.65
O: 0.9066 0.1264 0.6030  1 Si 1.65
O: 0.9066 0.2802 0.3037  1 Si 1.65
O: 0.9765 0.6963 0.1030  1 Si 1.65
O: 0.9765 0.7802 0.8736  1 Si 1.65

The value obtained for the total magnetic moment is 6.00 μB per formula unit. Its total energy is -7.80 eV/atom. The energy relative to the elements, uncorrected comes out at -2.352 eV per atom. As for the crystal system: cubic.

Below is a relaxed Sr10Mg5Mo3W2O30 crystal, with properties calculated at the GGA-PBEsol level.

Unit cell a=5.5775 b=5.5864 c=20.0291 alpha=82.10 beta=82.11 gamma=89.39
With the nearest neighbours (Å) after each atom.
Positions (direct):
Sr: 0.0490 0.0494 0.4008  8 O 2.55-2.85
Sr: 0.1491 0.1488 0.2005  7 O 2.54-2.85
Sr: 0.2485 0.2494 0.0009  6 O 2.52-2.70
Sr: 0.3533 0.3524 0.7980  6 O 2.53-2.70
Sr: 0.4493 0.4496 0.6003  6 O 2.54-2.70
Sr: 0.5507 0.5504 0.3997  6 O 2.54-2.70
Sr: 0.6467 0.6476 0.2020  6 O 2.53-2.70
Sr: 0.7515 0.7506 0.9991  6 O 2.52-2.70
Sr: 0.8509 0.8512 0.7995  7 O 2.54-2.85
Sr: 0.9510 0.9506 0.5992  8 O 2.55-2.85
Mg: 0.0000 0.5000 0.5000  6 O 2.05-2.06
Mg: 0.1994 0.6996 0.1004  6 O 2.05-2.07
Mg: 0.4007 0.9005 0.6995  6 O 2.05-2.06
Mg: 0.5993 0.0995 0.3005  6 O 2.05-2.06
Mg: 0.8006 0.3004 0.8996  6 O 2.05-2.07
Mo: 0.0992 0.5995 0.3005  6 O 1.91-1.92
Mo: 0.5000 0.0000 0.5000  6 O 1.91-1.92
Mo: 0.9008 0.4005 0.6995  6 O 1.91-1.92
W: 0.3006 0.8005 0.8996  6 O 1.92-1.93
W: 0.6994 0.1995 0.1004  6 O 1.92-1.93
O: 0.0162 0.5900 0.3967  1 Mo 1.91, 1 Mg 2.05
O: 0.0385 0.5788 0.8996  1 W 1.93, 1 Mg 2.05
O: 0.0851 0.0675 0.8850  1 W 1.92, 1 Mg 2.06
O: 0.1231 0.1421 0.7139  1 Mo 1.91, 1 Mg 2.06
O: 0.1540 0.6298 0.6991  1 Mo 1.92, 1 Mg 2.06
O: 0.1824 0.6098 0.2044  1 Mo 1.91, 1 Mg 2.07
O: 0.2172 0.7902 0.9965  1 W 1.92, 1 Mg 2.06
O: 0.2459 0.7717 0.5002  1 Mo 1.92, 1 Mg 2.06
O: 0.2786 0.2593 0.4854  1 Mo 1.91, 1 Mg 2.06
O: 0.3217 0.3410 0.3151  1 Mo 1.91, 1 Mg 2.06
O: 0.3526 0.8286 0.3005  1 Mo 1.92, 1 Mg 2.06
O: 0.3837 0.8099 0.8027  1 W 1.93, 1 Mg 2.05
O: 0.4168 0.9906 0.5961  1 Mo 1.91, 1 Mg 2.05
O: 0.4374 0.9778 0.1006  1 W 1.92, 1 Mg 2.06
O: 0.4838 0.4665 0.0859  1 W 1.92, 1 Mg 2.06
O: 0.5162 0.5335 0.9141  1 W 1.92, 1 Mg 2.06
O: 0.5626 0.0222 0.8994  1 W 1.92, 1 Mg 2.06
O: 0.5832 0.0094 0.4039  1 Mo 1.91, 1 Mg 2.05
O: 0.6163 0.1901 0.1973  1 W 1.93, 1 Mg 2.05
O: 0.6474 0.1714 0.6995  1 Mo 1.92, 1 Mg 2.06
O: 0.6783 0.6590 0.6849  1 Mo 1.91, 1 Mg 2.06
O: 0.7214 0.7407 0.5146  1 Mo 1.91, 1 Mg 2.06
O: 0.7541 0.2283 0.4998  1 Mo 1.92, 1 Mg 2.06
O: 0.7828 0.2098 0.0035  1 W 1.92, 1 Mg 2.06
O: 0.8176 0.3902 0.7956  1 Mo 1.91, 1 Mg 2.07
O: 0.8460 0.3702 0.3009  1 Mo 1.92, 1 Mg 2.06
O: 0.8769 0.8579 0.2861  1 Mo 1.91, 1 Mg 2.06
O: 0.9149 0.9325 0.1150  1 W 1.92, 1 Mg 2.06
O: 0.9615 0.4212 0.1004  1 W 1.93, 1 Mg 2.05
O: 0.9838 0.4100 0.6033  1 Mo 1.91, 1 Mg 2.05

The value obtained for the total magnetic moment is 0.00 μB per formula unit. Its total energy is -7.69 eV/atom. The energy relative to the elements, uncorrected comes out at -2.741 eV per atom. As for the crystal system: triclinic.

Below is a relaxed Mg2MoOs crystal, with properties calculated at the GGA-PBEsol level.

Unit cell a=5.3102 b=5.3102 c=2.6695 alpha=97.83 beta=97.83 gamma=119.64
With the nearest neighbours (Å) after each atom.
Positions (direct):
Mg: 0.0000 0.5000 0.0000  4 Mg 2.67, 2 Mo 2.80, 2 Os 2.80
Mg: 0.5000 0.0000 0.0000  4 Mg 2.67, 2 Mo 2.80, 2 Os 2.80
Mo: 0.0000 0.0000 0.5000  2 Os 2.67, 2 Mo 2.67, 4 Mg 2.80
Os: 0.5000 0.5000 0.5000  2 Mo 2.67, 2 Os 2.67, 4 Mg 2.80

The value obtained for the total magnetic moment is 0.00 μB per formula unit. The calculation puts the formation energy at 0.338 eV per atom. Its total energy is -6.52 eV/atom. As for the crystal system: monoclinic.

Below is a relaxed Mg2MoOs crystal, with properties calculated at the GGA-PBEsol level.

Unit cell a=4.4297 b=4.4297 c=4.4297 alpha=60.00 beta=60.00 gamma=60.00
With the nearest neighbours (Å) after each atom.
Positions (direct):
Mg: 0.0000 0.0000 0.0000  4 Os 2.71, 4 Mg 2.71
Mg: 0.2500 0.2500 0.2500  4 Mo 2.71, 4 Mg 2.71
Mo: 0.5000 0.5000 0.5000  4 Os 2.71, 4 Mg 2.71
Os: 0.7500 0.7500 0.7500  4 Mo 2.71, 4 Mg 2.71

The value obtained for the total magnetic moment is 0.00 μB per formula unit. The calculation puts the formation energy at 0.116 eV per atom. Its total energy is -6.74 eV/atom. As for the crystal system: cubic.

Below is a relaxed Mg2MoOs crystal, with properties calculated at the GGA-PBEsol level.

Unit cell a=2.7097 b=2.7097 c=9.2332 alpha=90.00 beta=90.00 gamma=111.22
With the nearest neighbours (Å) after each atom.
Positions (direct):
Mg: 0.0000 0.0000 0.2402  2 Os 2.69, 4 Mg 2.71, 2 Mo 2.85
Mg: 0.0000 0.0000 0.7598  2 Os 2.69, 4 Mg 2.71, 2 Mo 2.85
Mo: 0.5000 0.5000 0.5000  4 Mo 2.71, 4 Mg 2.85
Os: 0.5000 0.5000 0.0000  4 Mg 2.69, 4 Os 2.71

The value obtained for the total magnetic moment is 0.00 μB per formula unit. The calculation puts the formation energy at 0.392 eV per atom. Its total energy is -6.46 eV/atom. As for the crystal system: orthorhombic.